CdW3: optimized geometry, GGA-PBE.

```
CdW3
1.0
3.3597 0.0000 0.0000
0.0000 3.3597 0.0000
0.0000 0.0000 6.1578
W Cd
3 1
direct
0.5000 0.5000 0.2818 W
0.5000 0.5000 0.7182 W
0.0000 0.0000 0.5000 W
0.0000 0.0000 0.0000 Cd
```

## Properties
DFT formation energy, eV per formula unit: 2.127
Spin magnetization, Bohr magnetons per cell: 0.00
Space group: P4/mmm

ZnMoP2: optimized geometry, GGA-PBE.

```
ZnMoP2
1.0
3.1580 0.0000 0.0000
0.0000 3.1580 0.0000
0.0000 0.0000 5.8830
Mo P Zn
1 2 1
direct
0.5000 0.5000 0.7500 Mo
0.0000 0.0000 0.9710 P
0.0000 0.0000 0.5290 P
0.5000 0.5000 0.2500 Zn
```

## Properties
DFT formation energy, eV per formula unit: -0.554
Spin magnetization, Bohr magnetons per cell: 0.00
Space group: P4/mmm

Y4SbPSe2: optimized geometry, GGA-PBE.

```
Y4SbPSe2
1.0
-3.8972 1.2648 0.5994
-1.5958 -6.3245 2.9697
1.2049 0.3233 7.1521
Se Y P Sb
2 4 1 1
direct
0.5000 0.0000 0.5000 Se
0.0000 0.0000 0.0000 Se
0.0000 0.2517 0.2684 Y
0.0000 0.7483 0.7316 Y
0.5000 0.7366 0.2707 Y
0.5000 0.2634 0.7293 Y
0.0000 0.5000 0.5000 P
0.5000 0.5000 0.0000 Sb
```

## Properties
Formation energy without anion corrections, eV/atom: -1.6051
Spin magnetization, Bohr magnetons per cell: 0.00
Space group: P2/m

AsRuWBr2: optimized geometry, GGA-PBE.

```
AsRuWBr2
1.0
5.1624 0.0000 0.0000
0.0000 5.1624 0.0000
0.0000 0.0000 4.8915
Ru W As Br
1 1 1 2
direct
0.5000 0.5000 0.5000 Ru
0.0000 0.0000 0.0000 W
0.0000 0.0000 0.5000 As
0.5000 0.0000 0.0000 Br
0.0000 0.5000 0.0000 Br
```

## Properties
Formation energy without anion corrections, eV/atom: 1.3095
Spin magnetization, Bohr magnetons per cell: 4.11
Space group: P4/mmm

TlBr2O: optimized geometry, GGA-PBE.

```
TlBr2O
1.0
0.0000 3.6867 3.6867
3.6867 0.0000 3.6867
3.6867 3.6867 0.0000
O Br Tl
1 2 1
direct
0.0000 0.0000 0.0000 O
0.2500 0.2500 0.2500 Br
0.7500 0.7500 0.7500 Br
0.5000 0.5000 0.5000 Tl
```

## Properties
Formation energy without anion corrections, eV/atom: 0.3614
Spin magnetization, Bohr magnetons per cell: 2.59
Space group: Fm-3m

Ca3TaB: optimized geometry, GGA-PBE.

```
Ca3TaB
1.0
-1.2409 0.8235 -5.0137
-1.6322 -4.9521 -0.4094
-4.8115 1.4675 1.4319
Ta Ca B
1 3 1
direct
0.5000 0.5000 0.5000 Ta
0.0000 0.0000 0.5000 Ca
0.5000 0.0000 0.0000 Ca
0.0000 0.5000 0.0000 Ca
0.0000 0.0000 0.0000 B
```

## Properties
DFT formation energy, eV per formula unit: 5.019
Spin magnetization, Bohr magnetons per cell: 3.66
Space group: Pm-3m

FeBr3: optimized geometry, GGA-PBE.

```
FeBr3
1.0
-6.5268 2.4408 7.5776
-7.8043 -0.7107 6.6756
-5.1083 -0.4835 8.9245
Br Fe
3 1
direct
0.1227 0.1227 0.1227 Br
0.0000 0.0000 0.0000 Br
0.8773 0.8773 0.8773 Br
0.5000 0.5000 0.5000 Fe
```

## Properties
Formation energy without anion corrections, eV/atom: 0.0358
Spin magnetization, Bohr magnetons per cell: 0.38
Space group: R-3m

PmScCd14: optimized geometry, GGA-PBE.

```
PmScCd14
1.0
6.5790 -0.0139 0.0000
0.0141 6.5790 0.0000
0.0000 0.0000 8.4579
Sc Pm Cd
1 1 14
direct
0.3750 0.3750 0.5000 Sc
0.8750 0.8750 0.5000 Pm
0.1317 0.1317 0.7551 Cd
0.8750 0.3750 0.0000 Cd
0.3750 0.8750 0.5000 Cd
0.1316 0.6184 0.2448 Cd
0.8750 0.8750 0.0000 Cd
0.1316 0.6184 0.7552 Cd
0.1317 0.1317 0.2449 Cd
0.8750 0.3750 0.5000 Cd
0.3750 0.8750 0.0000 Cd
0.6183 0.6183 0.7552 Cd
0.6184 0.1316 0.7552 Cd
0.6184 0.1316 0.2448 Cd
0.6183 0.6183 0.2448 Cd
0.3750 0.3750 0.0000 Cd
```

## Properties
DFT formation energy, eV per formula unit: -1.983
Spin magnetization, Bohr magnetons per cell: 0.00
Space group: P4/mmm